(1)
FeWAu, optimized geometry, DFT GGA-PBE; DFT total energy = -23.597 eV/cell; calculated formation energy = 0.365 eV/atom; density of states at the Fermi level = 2.57 states/eV/cell; E above lowest polymorph = 57 meV per atom
1.0
4.443 0.000 0.000
-2.222 3.848 0.000
0.000 0.000 2.663
Au Fe W
1 1 1
Direct
0.000 0.000 0.115
0.667 0.333 0.265
0.333 0.667 0.619


(2)
FeAs3, optimized geometry, DFT GGA-PBE; DFT total energy = -20.450 eV/cell; calculated formation energy = 0.490 eV/atom; density of states at the Fermi level = 3.75 states/eV/cell; E above lowest polymorph = 444 meV per atom
1.0
4.560 0.000 0.000
0.000 4.560 0.000
0.000 0.000 3.287
As Fe
3 1
Direct
0.000 0.000 0.000
0.500 0.000 0.500
0.500 0.500 0.000
0.000 0.500 0.500


(3)
Ba2CrGeTe, optimized geometry, DFT GGA-PBE; DFT total energy = -22.709 eV/cell; formation energy from raw total energies = -296 meV/atom; density of states at the Fermi level = 2.39 states/eV/cell
1.0
-0.828 6.186 0.927
-4.620 -0.641 0.151
0.327 -0.891 6.238
Cr Ge Te Ba
1 1 1 2
Direct
0.000 0.000 0.000
0.000 0.500 0.000
0.500 0.500 0.500
0.000 0.000 0.500
0.500 0.000 0.000


(4)
YNb2NiSn, optimized geometry, DFT GGA-PBE; DFT total energy = -31.371 eV/cell; calculated formation energy = 1.003 eV/atom; density of states at the Fermi level = 8.43 states/eV/cell
1.0
-0.396 -3.661 -3.654
4.606 -0.183 -0.316
0.105 -3.669 3.665
Y Ni Nb Sn
1 1 2 1
Direct
0.500 0.500 0.500
0.000 0.500 0.000
0.000 0.000 0.500
0.500 0.000 0.000
0.000 0.000 0.000


(5)
La2NiPd, optimized geometry, DFT GGA-PBE; DFT total energy = -23.091 eV/cell; calculated formation energy = -0.565 eV/atom; density of states at the Fermi level = 2.83 states/eV/cell
1.0
-3.758 -1.909 1.643
2.114 -3.089 1.248
-0.226 4.065 4.206
La Ni Pd
2 1 1
Direct
0.000 0.989 0.978
0.500 0.259 0.517
0.000 0.709 0.418
0.500 0.543 0.085


(6)
La4PmHo3Te8, optimized geometry, DFT GGA-PBE; DFT total energy = -86.408 eV/cell; formation energy from raw total energies = -1443 meV/atom; density of states at the Fermi level = 12.16 states/eV/cell
1.0
-1.590 -8.004 3.596
-3.125 -2.928 -7.901
8.160 3.564 0.485
La Pm Ho Te
4 1 3 8
Direct
0.500 0.000 0.000
0.500 0.000 0.500
0.000 0.000 0.000
0.000 0.000 0.500
0.000 0.500 0.000
0.500 0.500 0.000
0.500 0.500 0.500
0.000 0.500 0.500
0.248 0.735 0.987
0.248 0.735 0.495
0.256 0.269 0.513
0.740 0.735 0.987
0.260 0.265 0.013
0.744 0.731 0.487
0.752 0.265 0.505
0.752 0.265 0.013


(7)
Y3Ga2Co2, optimized geometry, DFT GGA-PBE; DFT total energy = -171.827 eV/cell; calculated formation energy = -0.471 eV/atom; density of states at the Fermi level = 20.97 states/eV/cell
1.0
-1.014 5.222 -1.438
-6.516 -0.115 4.175
6.636 4.172 10.472
Y Ga Co
12 8 8
Direct
0.153 0.600 0.097
0.847 0.400 0.597
0.847 0.100 0.403
0.153 0.900 0.903
0.847 0.400 0.903
0.153 0.600 0.403
0.153 0.900 0.597
0.847 0.100 0.097
0.366 0.242 0.250
0.634 0.758 0.750
0.634 0.742 0.250
0.366 0.258 0.750
0.365 0.250 0.000
0.635 0.750 0.500
0.635 0.750 0.000
0.365 0.250 0.500
0.856 0.396 0.250
0.144 0.604 0.750
0.144 0.896 0.250
0.856 0.104 0.750
0.637 0.466 0.090
0.363 0.534 0.590
0.363 0.966 0.410
0.637 0.034 0.910
0.363 0.534 0.910
0.637 0.466 0.410
0.637 0.034 0.590
0.363 0.966 0.090


(8)
BiSbIrI2, optimized geometry, DFT GGA-PBE; DFT total energy = -12.357 eV/cell; formation energy from raw total energies = 1522 meV/atom; density of states at the Fermi level = 13.92 states/eV/cell; E above lowest polymorph = 1076 meV per atom
1.0
6.003 0.000 0.000
0.000 6.003 0.000
0.000 0.000 6.036
I Sb Ir Bi
2 1 1 1
Direct
0.000 0.500 0.000
0.500 0.000 0.000
0.000 0.000 0.500
0.500 0.500 0.500
0.000 0.000 0.000


Which value of density of states at the Fermi level does entry 4 give?
8.43 states/eV/cell


Which value of density of states at the Fermi level does entry 5 give?
2.83 states/eV/cell


Number 1 is which compound?
FeWAu